# 1
A relaxed structure of Au3Se. Source: Alexandria, functional PBE.

Its formation energy without anion corrections is 50.0 kJ/mol of formula units. The symmetry is Cmcm, No. 63.

Unit cell a=5.6393 b=5.6393 c=5.1294 alpha=90.00 beta=90.00 gamma=94.71
Fractional positions:
1 Se 0.5475 0.4525 0.7500
2 Se 0.4525 0.5475 0.2500
3 Au 0.0090 0.3513 0.2500
4 Au 0.9910 0.6487 0.7500
5 Au 0.8728 0.1272 0.7500
6 Au 0.3513 0.0090 0.7500
7 Au 0.6487 0.9910 0.2500
8 Au 0.1272 0.8728 0.2500

***

# 2
A relaxed structure of AuSe2. Source: Alexandria, functional PBE.

Its formation energy without anion corrections is 9.3 kJ/mol of formula units. The symmetry is Pnnm, No. 58.

Unit cell a=4.1586 b=5.3181 c=6.5119 alpha=90.00 beta=90.00 gamma=90.00
Fractional positions:
1 Au 0.0000 0.0000 0.0000
2 Au 0.5000 0.5000 0.5000
3 Se 0.0000 0.1813 0.6052
4 Se 0.5000 0.3187 0.1052
5 Se 0.0000 0.8187 0.3948
6 Se 0.5000 0.6813 0.8948

***

The lowest formation energy without anion corrections belongs to which entry?
AuSe2